[1]
Computed, not measured: a geometry-optimized Sr2CdPd3Au12 structure at the GGA-PBE level of DFT.

a b c (Å): 9.0510 9.0510 19.7112
angles (deg): 90.00 90.00 120.00
Space group R-3m (No. 166, hexagonal axes)
Asymmetric unit:
Sr 0.0000 0.0000 0.1117 (multiplicity 6)
Cd 0.0000 0.0000 0.5000 (multiplicity 3)
Pd 0.0000 0.5000 0.0000 (multiplicity 9)
Au 0.0014 0.5007 0.1370 (multiplicity 18)
Au 0.0776 0.5388 0.3990 (multiplicity 18)

Calculated values
For the formation energy, the calculation gives 0.025 eV per atom. For the calculated total energy, the calculation gives -3.2630 eV/atom.

=====

[2]
Computed, not measured: a geometry-optimized PuNbGa structure at the GGA-PBE level of DFT.

a b c (Å): 4.8575 4.8575 2.9623
angles (deg): 90.00 90.00 120.00
Space group P3m1 (No. 156)
Asymmetric unit:
Pu 0.0000 0.0000 0.0000 (multiplicity 1)
Nb 0.6667 0.3333 0.5018 (multiplicity 1)
Ga 0.3333 0.6667 0.4989 (multiplicity 1)

Calculated values
For the formation energy, the calculation gives 0.070 eV per atom. For the calculated total energy, the calculation gives -9.0730 eV/atom.

=====

[3]
Computed, not measured: a geometry-optimized Li5TeO5 structure at the GGA-PBE level of DFT.

a b c (Å): 9.954 4.127 5.977
angles (deg): 90.00 108.93 90.00
Space group C2/m (No. 12)
Asymmetric unit:
Li 0.000 0.000 0.000 (multiplicity 2)
Li 0.191 0.500 0.360 (multiplicity 4)
Li 0.212 0.500 0.844 (multiplicity 4)
Te 0.000 0.000 0.500 (multiplicity 2)
O 0.000 0.500 0.500 (multiplicity 2)
O 0.147 0.000 0.324 (multiplicity 4)
O 0.159 0.000 0.822 (multiplicity 4)

Calculated values
The formation energy without anion corrections is -1684 meV per atom. For the calculated total energy, the calculation gives -5.0934 eV/atom.

=====

[4]
Computed, not measured: a geometry-optimized LaPtCl structure at the GGA-PBE level of DFT.

a b c (Å): 5.018 4.458 7.567
angles (deg): 90.00 93.82 90.00
Space group P2_1/m (No. 11)
Asymmetric unit:
La 0.055 0.250 0.284 (multiplicity 2)
Pt 0.348 0.750 0.475 (multiplicity 2)
Cl 0.234 0.250 0.913 (multiplicity 2)

Calculated values
The formation energy without anion corrections is -1533 meV per atom. For the calculated total energy, the calculation gives -5.8045 eV/atom.

=====

[5]
Computed, not measured: a geometry-optimized Nd3Er2Mg2 structure at the GGA-PBE level of DFT.

a b c (Å): 5.326 23.424 3.496
angles (deg): 90.00 90.00 90.00
Space group Cmmm (No. 65)
Asymmetric unit:
Nd 0.000 0.000 0.000 (multiplicity 2)
Nd 0.000 0.151 0.000 (multiplicity 4)
Er 0.000 0.288 0.500 (multiplicity 4)
Mg 0.000 0.430 0.500 (multiplicity 4)

Calculated values
For the formation energy, the calculation gives 0.036 eV per atom. For the calculated total energy, the calculation gives -3.7668 eV/atom.

=====

[6]
Computed, not measured: a geometry-optimized Tc2MoAs4 structure at the GGA-PBE level of DFT.

a b c (Å): 7.079 11.433 7.077
angles (deg): 90.00 119.42 90.00
Space group Cc (No. 9)
Asymmetric unit:
Tc 0.000 0.125 0.000 (multiplicity 4)
Tc 0.432 0.133 0.990 (multiplicity 4)
Mo 0.014 0.126 0.598 (multiplicity 4)
As 0.136 0.288 0.880 (multiplicity 4)
As 0.159 0.241 0.363 (multiplicity 4)
As 0.308 0.472 0.693 (multiplicity 4)
As 0.335 0.008 0.678 (multiplicity 4)

Calculated values
For the formation energy, the calculation gives -0.182 eV per atom. For the calculated total energy, the calculation gives -7.3476 eV/atom.

=====

[7]
Computed, not measured: a geometry-optimized Be2TlAg structure at the GGA-PBE level of DFT.

a b c (Å): 6.243 6.243 6.243
angles (deg): 90.00 90.00 90.00
Space group Fm-3m (No. 225)
Asymmetric unit:
Be 0.250 0.250 0.250 (multiplicity 8)
Tl 0.000 0.000 0.000 (multiplicity 4)
Ag 0.000 0.000 0.500 (multiplicity 4)

Calculated values
For the formation energy, the calculation gives 0.616 eV per atom. For the calculated total energy, the calculation gives -2.5513 eV/atom.

=====

[8]
Computed, not measured: a geometry-optimized KSe2Cl structure at the GGA-PBE level of DFT.

a b c (Å): 3.8472 3.8472 28.7505
angles (deg): 90.00 90.00 120.00
Space group R-3m (No. 166, hexagonal axes)
Asymmetric unit:
K 0.0000 0.0000 0.0000 (multiplicity 3)
Se 0.0000 0.0000 0.4169 (multiplicity 6)
Cl 0.0000 0.0000 0.5000 (multiplicity 3)

Calculated values
The formation energy without anion corrections is 16 meV per atom. For the calculated total energy, the calculation gives -2.4625 eV/atom.

=====

[9]
Computed, not measured: a geometry-optimized SiSbOs2 structure at the GGA-PBE level of DFT.

a b c (Å): 5.544 5.544 11.595
angles (deg): 90.00 90.00 90.00
Space group I-42d (No. 122)
Asymmetric unit:
Si 0.000 0.000 0.000 (multiplicity 4)
Sb 0.000 0.000 0.500 (multiplicity 4)
Os 0.209 0.250 0.125 (multiplicity 8)

Calculated values
The formation energy without anion corrections is 779 meV per atom. For the calculated total energy, the calculation gives -7.2220 eV/atom.

=====

[10]
Computed, not measured: a geometry-optimized Sm6RuO12 structure at the GGA-PBE level of DFT.

a b c (Å): 10.0397 10.0397 9.6384
angles (deg): 90.00 90.00 120.00
Space group R-3 (No. 148, hexagonal axes)
Asymmetric unit:
Sm 0.0456 0.7886 0.1448 (multiplicity 18)
Ru 0.0000 0.0000 0.5000 (multiplicity 3)
O 0.0359 0.8109 0.9026 (multiplicity 18)
O 0.0404 0.8572 0.3907 (multiplicity 18)

Calculated values
The formation energy without anion corrections is -2903 meV per atom. For the calculated total energy, the calculation gives -8.0131 eV/atom.

=====

[11]
Computed, not measured: a geometry-optimized LaScCd3 structure at the GGA-PBE level of DFT.

a b c (Å): 5.357 5.357 5.357
angles (deg): 90.00 90.00 90.00
Space group Pm-3m (No. 221)
Asymmetric unit:
La 0.000 0.000 0.000 (multiplicity 1)
Sc 0.500 0.500 0.500 (multiplicity 1)
Cd 0.000 0.500 0.500 (multiplicity 3)

Calculated values
For the formation energy, the calculation gives 0.234 eV per atom. For the calculated total energy, the calculation gives -2.5668 eV/atom.

=====

[12]
Computed, not measured: a geometry-optimized NdEr3Zn4 structure at the GGA-PBE level of DFT.

a b c (Å): 5.032 5.032 7.215
angles (deg): 90.00 90.00 90.00
Space group P4/mmm (No. 123)
Asymmetric unit:
Nd 0.000 0.000 0.000 (multiplicity 1)
Er 0.000 0.000 0.500 (multiplicity 1)
Er 0.500 0.500 0.000 (multiplicity 1)
Er 0.500 0.500 0.500 (multiplicity 1)
Zn 0.000 0.500 0.261 (multiplicity 4)

Calculated values
For the formation energy, the calculation gives -0.331 eV per atom. For the calculated total energy, the calculation gives -3.2746 eV/atom.

=====

Number 1: total moment 0.00 μB per atom, ρ 10.58 g cm⁻³. Number 2: total moment 1.70 μB per atom, ρ 11.15 g cm⁻³. Number 3: total moment 0.00 μB per atom, ρ 3.46 g cm⁻³. Number 4: total moment 0.00 μB per atom, ρ 7.26 g cm⁻³. Number 5: total moment 0.05 μB per atom, ρ 6.21 g cm⁻³. Number 6: total moment 0.00 μB per atom, ρ 7.88 g cm⁻³. Number 7: total moment 0.00 μB per atom, ρ 9.02 g cm⁻³. Number 8: total moment 0.00 μB per atom, ρ 3.14 g cm⁻³. Number 9: total moment 0.00 μB per atom, ρ 9.88 g cm⁻³. Number 10: total moment 0.10 μB per atom, ρ 7.08 g cm⁻³. Number 11: total moment 0.00 μB per atom, ρ 5.63 g cm⁻³. Number 12: total moment 0.00 μB per atom, ρ 8.25 g cm⁻³.